The following is a PBE-GGA calculation of an optimized crystal structure of TbLuTlZn, from Alexandria.

Summary:
Crystal system   cubic
Space-group type   F-43m

Cell and atoms, written as POSCAR:
```
TbLuTlZn
1.0
0.0000 3.6680 3.6680
3.6680 0.0000 3.6680
3.6680 3.6680 0.0000
Tb Lu Tl Zn
1 1 1 1
Direct
0.0000 0.0000 0.0000
0.5000 0.5000 0.5000
0.7500 0.7500 0.7500
0.2500 0.2500 0.2500
```

The following is a PBE-GGA calculation of an optimized crystal structure of Tb2TmLu, from Alexandria.

Summary:
Excess energy over the best structure of this formula in the dataset   0.00 eV per formula unit
Crystal system   tetragonal
Space-group type   P4/mmm

Cell and atoms, written as POSCAR:
```
Tb2TmLu
1.0
4.9758 0.0000 0.0000
0.0000 4.9758 0.0000
0.0000 0.0000 4.9391
Tb Tm Lu
2 1 1
Direct
0.0000 0.5000 0.0000
0.5000 0.0000 0.0000
0.0000 0.0000 0.5000
0.5000 0.5000 0.5000
```

The following is a PBE-GGA calculation of an optimized crystal structure of TbTmLu, from Alexandria.

Summary:
Excess energy over the best structure of this formula in the dataset   0.00 eV per formula unit
Crystal system   tetragonal
Space-group type   I4mm

Cell and atoms, written as POSCAR:
```
TbTmLu
1.0
-1.7449 1.7449 7.4459
1.7449 -1.7449 7.4459
1.7449 1.7449 -7.4459
Tb Tm Lu
1 1 1
Direct
0.0000 0.0000 0.0000
0.3320 0.3320 0.0000
0.6672 0.6672 0.0000
```

The following is a PBE-GGA calculation of an optimized crystal structure of Tb2TmLu, from Alexandria.

Summary:
Excess energy over the best structure of this formula in the dataset   0.38 eV per formula unit
Crystal system   cubic
Space-group type   Fm-3m

Cell and atoms, written as POSCAR:
```
Tb2TmLu
1.0
0.0000 3.9602 3.9602
3.9602 0.0000 3.9602
3.9602 3.9602 0.0000
Tb Tm Lu
2 1 1
Direct
0.2500 0.2500 0.2500
0.7500 0.7500 0.7500
0.0000 0.0000 0.0000
0.5000 0.5000 0.5000
```

The following is a PBE-GGA calculation of an optimized crystal structure of TbTm2Lu, from Alexandria.

Summary:
Excess energy over the best structure of this formula in the dataset   0.00 eV per formula unit
Crystal system   tetragonal
Space-group type   P4/mmm

Cell and atoms, written as POSCAR:
```
TbTm2Lu
1.0
3.4901 0.0000 0.0000
0.0000 3.4901 0.0000
0.0000 0.0000 9.8974
Tb Tm Lu
1 2 1
Direct
0.0000 0.0000 0.0000
0.5000 0.5000 0.2528
0.5000 0.5000 0.7472
0.0000 0.0000 0.5000
```

The following is a PBE-GGA calculation of an optimized crystal structure of TbTm2Lu, from Alexandria.

Summary:
Excess energy over the best structure of this formula in the dataset   0.45 eV per formula unit
Crystal system   cubic
Space-group type   Fm-3m

Cell and atoms, written as POSCAR:
```
TbTm2Lu
1.0
0.0000 3.9444 3.9444
3.9444 0.0000 3.9444
3.9444 3.9444 0.0000
Tb Tm Lu
1 2 1
Direct
0.0000 0.0000 0.0000
0.2500 0.2500 0.2500
0.7500 0.7500 0.7500
0.5000 0.5000 0.5000
```

Number 1: raw total energy -3.503 eV per atom, total magnetic moment 0.001 μB/f.u., formation energy -305 meV/atom. Number 2: raw total energy -4.538 eV per atom, total magnetic moment 0.001 μB/f.u., formation energy 26 meV/atom. Number 3: raw total energy -4.513 eV per atom, total magnetic moment 0.000 μB/f.u., formation energy 28 meV/atom. Number 4: raw total energy -4.443 eV per atom, total magnetic moment 0.006 μB/f.u., formation energy 120 meV/atom. Number 5: raw total energy -4.495 eV per atom, total magnetic moment 0.000 μB/f.u., formation energy 28 meV/atom. Number 6: raw total energy -4.383 eV per atom, total magnetic moment 0.018 μB/f.u., formation energy 141 meV/atom.